(1)
{
  "formula": "In4SnHgSe8",
  "functional": "PBE",
  "state": "optimized geometry",
  "cell": [[8.329, 0.000, 0.000], [4.164, 7.213, 0.000], [4.164, 2.404, 6.697]],
  "species": ["In", "In", "In", "In", "Sn", "Hg", "Se", "Se", "Se", "Se", "Se", "Se", "Se", "Se"],
  "fractional_positions": [[0.620, 0.620, 0.140], [0.002, 0.495, 0.501], [0.495, 0.002, 0.501], [0.002, 0.002, 0.501], [0.002, 0.002, 0.993], [0.378, 0.378, 0.866], [0.247, 0.777, 0.729], [0.777, 0.247, 0.729], [0.247, 0.247, 0.729], [0.241, 0.241, 0.277], [0.752, 0.226, 0.270], [0.226, 0.752, 0.270], [0.752, 0.752, 0.270], [0.758, 0.758, 0.725]],
  "energy_ev_per_atom": -3.50,
  "raw_formation_energy_kj_per_mol_atoms": -40.32,
  "space_group": "R3m, No. 160",
  "magnetic_moment_mub_per_cell": 0.0
}



(2)
{
  "formula": "Li2ZrHPt",
  "functional": "PBE",
  "state": "optimized geometry",
  "cell": [[3.839, 0.000, 0.000], [0.000, 3.839, 0.000], [0.000, 0.000, 4.607]],
  "species": ["H", "Zr", "Pt", "Li", "Li"],
  "fractional_positions": [[0.000, 0.000, 0.000], [0.000, 0.000, 0.500], [0.500, 0.500, 0.500], [0.000, 0.500, 0.000], [0.500, 0.000, 0.000]],
  "energy_ev_per_atom": -4.88,
  "space_group": "P4/mmm, No. 123",
  "magnetic_moment_mub_per_cell": 0.0
}



(3)
{
  "formula": "Li2TaAg",
  "functional": "PBE",
  "state": "optimized geometry",
  "cell": [[2.761, 0.010, 0.000], [-0.987, 2.579, 0.000], [0.000, 0.000, 9.936]],
  "species": ["Ag", "Li", "Li", "Ta"],
  "fractional_positions": [[0.500, 0.500, 0.757], [0.000, 0.000, 0.987], [0.500, 0.500, 0.251], [0.000, 0.000, 0.505]],
  "energy_ev_per_atom": -4.45,
  "polymorph_energy_mev_per_atom": 45,
  "e_form_mev_per_atom": 188,
  "space_group": "Cmm2, No. 35",
  "magnetic_moment_mub_per_cell": 0.0
}



(4)
{
  "formula": "Pm3TmZn2",
  "functional": "PBE",
  "state": "optimized geometry",
  "cell": [[3.655, 0.000, 0.000], [0.000, 3.655, 0.000], [0.000, 0.000, 12.216]],
  "species": ["Pm", "Pm", "Pm", "Tm", "Zn", "Zn"],
  "fractional_positions": [[0.000, 0.000, 0.000], [0.000, 0.000, 0.704], [0.000, 0.000, 0.296], [0.500, 0.500, 0.500], [0.500, 0.500, 0.851], [0.500, 0.500, 0.149]],
  "energy_ev_per_atom": -3.74,
  "polymorph_energy_mev_per_atom": 11,
  "e_form_mev_per_atom": -199,
  "space_group": "P4/mmm, No. 123",
  "magnetic_moment_mub_per_cell": 0.0
}



What did the first record say?
{
  "formula": "In4SnHgSe8",
  "functional": "PBE",
  "state": "optimized geometry",
  "cell": [[8.329, 0.000, 0.000], [4.164, 7.213, 0.000], [4.164, 2.404, 6.697]],
  "species": ["In", "In", "In", "In", "Sn", "Hg", "Se", "Se", "Se", "Se", "Se", "Se", "Se", "Se"],
  "fractional_positions": [[0.620, 0.620, 0.140], [0.002, 0.495, 0.501], [0.495, 0.002, 0.501], [0.002, 0.002, 0.501], [0.002, 0.002, 0.993], [0.378, 0.378, 0.866], [0.247, 0.777, 0.729], [0.777, 0.247, 0.729], [0.247, 0.247, 0.729], [0.241, 0.241, 0.277], [0.752, 0.226, 0.270], [0.226, 0.752, 0.270], [0.752, 0.752, 0.270], [0.758, 0.758, 0.725]],
  "energy_ev_per_atom": -3.50,
  "raw_formation_energy_kj_per_mol_atoms": -40.32,
  "space_group": "R3m, No. 160",
  "magnetic_moment_mub_per_cell": 0.0
}